As2Ir3: PBEsol geometry, meta-GGA SCAN.

Values from the calculation:
total moment = 0.00 μB per formula unit
SG = No. 166
density = 16.0 g cm⁻³
energy = -252.8 eV/cell
crystal system = trigonal

abc: 4.0330 4.0330 5.8499
angles: 69.84 69.84 60.00
Element x y z (fractional)
As: 0.5921 0.5921 0.2237
As: 0.4079 0.4079 0.7763
Ir: 0.0000 0.0000 0.0000
Ir: 0.2197 0.2197 0.3410
Ir: 0.7803 0.7803 0.6590